An optimized crystal structure of Gd3HoSi4, computed with PBE.

a = 5.737 Å, b = 3.851 Å, c = 7.974 Å
α = 90.00°, β = 90.11°, γ = 90.00°
Atoms (fractional coordinates):
Gd (0.000, 0.000, 0.000)
Gd (0.230, 0.500, 0.359)
Gd (0.500, 0.500, 0.858)
Ho (0.730, 0.000, 0.500)
Si (0.242, 0.000, 0.641)
Si (0.488, 0.000, 0.143)
Si (0.742, 0.500, 0.219)
Si (0.986, 0.500, 0.715)

Computed properties:
ρ ... 7.1 g/cm³
Uncorrected energy ... -46.8 eV per cell
Volume ... 176.18 Å³ per cell
M_tot ... 0.0008 μB per atom

=====

An optimized crystal structure of ScBeZnGa, computed with PBE.

a = 4.379 Å, b = 4.379 Å, c = 4.379 Å
α = 60.00°, β = 60.00°, γ = 60.00°
Atoms (fractional coordinates):
Sc (0.000, 0.000, 0.000)
Be (0.250, 0.250, 0.250)
Zn (0.750, 0.750, 0.750)
Ga (0.500, 0.500, 0.500)

Computed properties:
ρ ... 5.3 g/cm³
Uncorrected energy ... -14.7 eV per cell
Volume ... 59.36 Å³ per cell
M_tot ... 0.0001 μB per atom
ΔE to the lowest computed polymorph ... 0.021 eV per atom